Entry from Alexandria: crystalline PIrO3 at its relaxed geometry (GGA-PBE).

Values from the calculation:
Electronic total energy   -5.612 eV per atom
Fermi-level density of states   3.19 states/eV per cell
Space group   Pm-3m
E_form (uncorrected)   0.217 eV per atom

a = 3.640 Å, b = 3.640 Å, c = 3.640 Å
α = 90.00°, β = 90.00°, γ = 90.00°
Positions (direct):
P (0.000, 0.000, 0.000)
Ir (0.500, 0.500, 0.500)
O (0.000, 0.000, 0.500)
O (0.000, 0.500, 0.000)
O (0.500, 0.000, 0.000)